No. 1
# Li4DySi4

A geometry-optimized Li4DySi4 structure (PBE-GGA, the Alexandria database).

a b c (Å): 5.9210 5.9210 8.5176
angles (deg): 90.00 90.00 90.00
Closest atoms and distances in Å follow each position.
Space group P4_2/nmc (No. 137, origin choice 2)
Symmetry-distinct sites (fractional):
Li (0.0068, 0.2500, 0.1616) (multiplicity 8)  5 Si 2.53-2.57, 2 Li 2.62
Dy (0.2500, 0.7500, 0.2500) (multiplicity 2)  4 Si 3.04, 8 Li 3.38
Si (0.0505, 0.2500, 0.4613) (multiplicity 8)  1 Si 2.36, 5 Li 2.53-2.57

Values from the calculation:
- E (eV per atom) = -3.970
- uncorrected formation energy (kJ/mol of atoms) = -19.1
- total magnetization (Bohr magnetons per cell) = 0.00

***

No. 2
# SbTeCl2

A geometry-optimized SbTeCl2 structure (PBE-GGA, the Alexandria database).

a b c (Å): 3.3469 4.8738 6.1036
angles (deg): 90.00 90.00 90.00
Closest atoms and distances in Å follow each position.
Space group Pmmm (No. 47)
Symmetry-distinct sites (fractional):
Sb (0.0000, 0.0000, 0.0000) (multiplicity 1)  4 Cl 2.96
Te (0.5000, 0.0000, 0.5000) (multiplicity 1)  4 Cl 2.96
Cl (0.0000, 0.5000, 0.5000) (multiplicity 1)  4 Te 2.96
Cl (0.5000, 0.5000, 0.0000) (multiplicity 1)  4 Sb 2.96

Values from the calculation:
- polymorph energy (0 for the lowest one) (meV per atom) = 491
- E (eV per atom) = -2.778
- uncorrected formation energy (kJ/mol of atoms) = -3.8
- total magnetization (Bohr magnetons per cell) = 0.00

***

No. 3
# BaSr2Eu

A geometry-optimized BaSr2Eu structure (PBE-GGA, the Alexandria database).

a b c (Å): 4.6611 4.6611 9.8686
angles (deg): 90.00 90.00 90.00
Closest atoms and distances in Å follow each position.
Space group P4/mmm (No. 123)
Symmetry-distinct sites (fractional):
Ba (0.0000, 0.0000, 0.0000) (multiplicity 1)  8 Sr 4.24, 4 Ba 4.66
Sr (0.5000, 0.5000, 0.2709) (multiplicity 2)  4 Eu 4.00, 4 Ba 4.24
Eu (0.0000, 0.0000, 0.5000) (multiplicity 1)  8 Sr 4.00

Values from the calculation:
- polymorph energy (0 for the lowest one) (meV per atom) = 0
- E (eV per atom) = -3.866
- total magnetization (Bohr magnetons per cell) = 7.46
- energy of formation (meV per atom) = 24.5

***

No. 4
# Ho4Tm3Th4

A geometry-optimized Ho4Tm3Th4 structure (PBE-GGA, the Alexandria database).

a b c (Å): 10.6353 5.5198 12.0003
angles (deg): 90.00 90.00 90.00
Closest atoms and distances in Å follow each position.
Space group Amm2 (No. 38)
Symmetry-distinct sites (fractional):
Ho (0.0000, 0.0000, 0.0000) (multiplicity 2)  2 Th 3.06, 2 Ho 3.21
Ho (0.2138, 0.0000, 0.8117) (multiplicity 4)  2 Ho 3.21-3.52, 4 Th 3.32-3.45, 4 Tm 3.36-3.58
Ho (0.5000, 0.0000, 0.9590) (multiplicity 2)  3 Th 3.27-3.39, 4 Tm 3.52, 2 Ho 3.52
Tm (0.0000, 0.0000, 0.3091) (multiplicity 2)  5 Th 3.55-3.65, 7 Ho 3.58-3.71, 2 Tm 3.59
Tm (0.2947, 0.0000, 0.4550) (multiplicity 4)  4 Ho 3.36-3.52, 5 Th 3.44-3.65, 1 Tm 3.59
Th (0.0000, 0.0000, 0.6102) (multiplicity 2)  4 Ho 3.06-3.32
Th (0.2823, 0.0000, 0.1510) (multiplicity 4)  4 Ho 3.27-3.51, 4 Tm 3.55-3.65, 2 Th 3.62
Th (0.5000, 0.0000, 0.6764) (multiplicity 2)  5 Ho 3.39-3.80, 2 Tm 3.44, 4 Th 3.62

Values from the calculation:
- E (eV per atom) = -5.398
- total magnetization (Bohr magnetons per cell) = 0.00
- energy of formation (meV per atom) = 183.9

***

No. 5
# Mg3TaBi

A geometry-optimized Mg3TaBi structure (PBE-GGA, the Alexandria database).

a b c (Å): 5.3703 5.3703 5.3703
angles (deg): 90.00 90.00 90.00
Closest atoms and distances in Å follow each position.
Space group Pm-3m (No. 221)
Symmetry-distinct sites (fractional):
Mg (0.0000, 0.0000, 0.5000) (multiplicity 3)  2 Ta 2.69
Ta (0.0000, 0.0000, 0.0000) (multiplicity 1)  6 Mg 2.69
Bi (0.5000, 0.5000, 0.5000) (multiplicity 1)  12 Mg 3.80

Values from the calculation:
- polymorph energy (0 for the lowest one) (meV per atom) = 0
- E (eV per atom) = -2.946
- total magnetization (Bohr magnetons per cell) = 1.98
- energy of formation (meV per atom) = 1157.7

***

No. 6
# Tc2C

A geometry-optimized Tc2C structure (PBE-GGA, the Alexandria database).

a b c (Å): 5.4719 5.4719 4.1521
angles (deg): 90.00 90.00 120.00
Closest atoms and distances in Å follow each position.
Space group P-62m (No. 189)
Symmetry-distinct sites (fractional):
Tc (0.0000, 0.2939, 0.0000) (multiplicity 3)  2 C 1.94
Tc (0.0000, 0.6167, 0.5000) (multiplicity 3)  1 C 2.10
C (0.0000, 0.0000, 0.5000) (multiplicity 1)  3 Tc 2.10
C (0.3333, 0.6667, 0.0000) (multiplicity 2)  3 Tc 1.94

Values from the calculation:
- polymorph energy (0 for the lowest one) (meV per atom) = 426
- E (eV per atom) = -9.485
- total magnetization (Bohr magnetons per cell) = 0.00
- energy of formation (meV per atom) = 500.4

***

No. 7
# Tb6Nd2Sm3

A geometry-optimized Tb6Nd2Sm3 structure (PBE-GGA, the Alexandria database).

a b c (Å): 6.1835 10.7323 11.7673
angles (deg): 90.00 100.24 90.00
Closest atoms and distances in Å follow each position.
Space group C2/m (No. 12)
Symmetry-distinct sites (fractional):
Tb (0.2498, 0.0000, 0.2494) (multiplicity 4)  3 Sm 3.54-3.55, 2 Nd 3.56, 6 Tb 3.57-3.58
Tb (0.2501, 0.1666, 0.7503) (multiplicity 8)  3 Sm 3.55-3.56, 2 Nd 3.56, 6 Tb 3.57-3.58
Nd (0.0000, 0.3334, 0.5000) (multiplicity 4)  6 Tb 3.56, 3 Nd 3.57-3.58
Sm (0.0000, 0.1645, 0.0000) (multiplicity 4)  6 Sm 3.53-3.60, 6 Tb 3.54-3.56
Sm (0.0000, 0.5000, 0.0000) (multiplicity 2)  6 Tb 3.55, 6 Sm 3.56-3.60

Values from the calculation:
- polymorph energy (0 for the lowest one) (meV per atom) = 0
- E (eV per atom) = -4.497
- total magnetization (Bohr magnetons per cell) = 0.00
- energy of formation (meV per atom) = 182.6

***

No. 8
# TiAlIn3

A geometry-optimized TiAlIn3 structure (PBE-GGA, the Alexandria database).

a b c (Å): 5.1774 5.1774 5.1774
angles (deg): 90.00 90.00 90.00
Closest atoms and distances in Å follow each position.
Space group Pm-3m (No. 221)
Symmetry-distinct sites (fractional):
Ti (0.0000, 0.0000, 0.0000) (multiplicity 1)  12 In 3.66
Al (0.5000, 0.5000, 0.5000) (multiplicity 1)  6 In 2.59
In (0.0000, 0.5000, 0.5000) (multiplicity 3)  2 Al 2.59

Values from the calculation:
- polymorph energy (0 for the lowest one) (meV per atom) = 192
- E (eV per atom) = -3.149
- total magnetization (Bohr magnetons per cell) = 0.00
- energy of formation (meV per atom) = 821.2